No. 1
{
  "formula": "GdNbN2O",
  "functional": "PBE-GGA",
  "state": "optimized geometry",
  "lattice": [[5.705, 0.000, 0.000], [0.000, 3.877, 0.000], [0.000, 0.000, 5.953]],
  "species": ["N", "N", "N", "N", "Nb", "Nb", "O", "O", "Gd", "Gd"],
  "frac_coords": [[0.250, 0.000, 0.810], [0.000, 0.500, 0.500], [0.500, 0.500, 0.500], [0.750, 0.000, 0.190], [0.250, 0.500, 0.720], [0.750, 0.500, 0.280], [0.000, 0.500, 0.000], [0.500, 0.500, 0.000], [0.750, 0.000, 0.812], [0.250, 0.000, 0.188]],
  "m_tot_mub_per_atom": 0.000,
  "dft_energy_ev_per_atom": -8.867,
  "spacegroup": "Pmma, No. 51"
}


No. 2
{
  "formula": "GdNbN2O",
  "functional": "PBE-GGA",
  "state": "optimized geometry",
  "lattice": [[5.726, 0.000, 0.000], [-2.863, 4.959, 0.000], [0.000, 0.000, 14.112]],
  "species": ["Nb", "Nb", "Nb", "Nb", "Nb", "Nb", "O", "O", "O", "O", "O", "O", "Gd", "Gd", "Gd", "Gd", "Gd", "Gd", "N", "N", "N", "N", "N", "N", "N", "N", "N", "N", "N", "N"],
  "frac_coords": [[0.333, 0.667, 0.355], [0.667, 0.333, 0.855], [0.000, 0.000, 0.000], [0.667, 0.333, 0.645], [0.333, 0.667, 0.145], [0.000, 0.000, 0.500], [0.509, 0.491, 0.250], [0.491, 0.981, 0.750], [0.019, 0.509, 0.750], [0.981, 0.491, 0.250], [0.509, 0.019, 0.250], [0.491, 0.509, 0.750], [0.000, 0.000, 0.250], [0.333, 0.667, 0.876], [0.000, 0.000, 0.750], [0.333, 0.667, 0.624], [0.667, 0.333, 0.124], [0.667, 0.333, 0.376], [0.842, 0.158, 0.908], [0.842, 0.158, 0.592], [0.316, 0.158, 0.592], [0.842, 0.684, 0.908], [0.842, 0.684, 0.592], [0.158, 0.316, 0.092], [0.158, 0.316, 0.408], [0.316, 0.158, 0.908], [0.158, 0.842, 0.092], [0.684, 0.842, 0.408], [0.684, 0.842, 0.092], [0.158, 0.842, 0.408]],
  "m_tot_mub_per_atom": 0.000,
  "dft_energy_ev_per_atom": -8.793,
  "spacegroup": "P6_3/mmc, No. 194"
}


No. 3
{
  "formula": "Gd3Nb3Re2N12",
  "functional": "PBE-GGA",
  "state": "optimized geometry",
  "lattice": [[-6.416, 6.416, 6.416], [6.416, -6.416, 6.416], [6.416, 6.416, -6.416]],
  "species": ["Re", "Re", "Re", "Re", "Re", "Re", "Re", "Re", "Gd", "Gd", "Gd", "Gd", "Gd", "Gd", "Gd", "Gd", "Gd", "Gd", "Gd", "Gd", "Nb", "Nb", "Nb", "Nb", "Nb", "Nb", "Nb", "Nb", "Nb", "Nb", "Nb", "Nb", "N", "N", "N", "N", "N", "N", "N", "N", "N", "N", "N", "N", "N", "N", "N", "N", "N", "N", "N", "N", "N", "N", "N", "N", "N", "N", "N", "N", "N", "N", "N", "N", "N", "N", "N", "N", "N", "N", "N", "N", "N", "N", "N", "N", "N", "N", "N", "N"],
  "frac_coords": [[0.000, 0.500, 0.000], [0.500, 0.000, 0.000], [0.000, 0.000, 0.000], [0.000, 0.500, 0.500], [0.000, 0.000, 0.500], [0.500, 0.000, 0.500], [0.500, 0.500, 0.000], [0.500, 0.500, 0.500], [0.375, 0.750, 0.125], [0.125, 0.250, 0.375], [0.625, 0.250, 0.875], [0.750, 0.625, 0.875], [0.750, 0.125, 0.375], [0.250, 0.875, 0.625], [0.125, 0.375, 0.750], [0.375, 0.125, 0.250], [0.250, 0.375, 0.125], [0.625, 0.875, 0.750], [0.875, 0.625, 0.250], [0.875, 0.750, 0.625], [0.625, 0.750, 0.375], [0.625, 0.375, 0.250], [0.875, 0.125, 0.750], [0.125, 0.875, 0.250], [0.750, 0.875, 0.125], [0.250, 0.125, 0.875], [0.750, 0.375, 0.625], [0.875, 0.250, 0.125], [0.250, 0.625, 0.375], [0.375, 0.625, 0.750], [0.125, 0.750, 0.875], [0.375, 0.250, 0.625], [0.384, 0.303, 0.477], [0.918, 0.303, 0.326], [0.884, 0.977, 0.803], [0.907, 0.384, 0.582], [0.616, 0.697, 0.523], [0.326, 0.918, 0.303], [0.116, 0.023, 0.197], [0.197, 0.116, 0.023], [0.918, 0.116, 0.593], [0.977, 0.674, 0.093], [0.418, 0.826, 0.803], [0.593, 0.174, 0.477], [0.803, 0.418, 0.826], [0.082, 0.884, 0.407], [0.407, 0.826, 0.523], [0.523, 0.616, 0.697], [0.907, 0.023, 0.326], [0.674, 0.082, 0.697], [0.884, 0.407, 0.082], [0.303, 0.326, 0.918], [0.174, 0.197, 0.582], [0.093, 0.977, 0.674], [0.477, 0.384, 0.303], [0.418, 0.093, 0.616], [0.174, 0.477, 0.593], [0.082, 0.697, 0.674], [0.697, 0.523, 0.616], [0.093, 0.616, 0.418], [0.593, 0.918, 0.116], [0.803, 0.884, 0.977], [0.407, 0.082, 0.884], [0.477, 0.593, 0.174], [0.674, 0.093, 0.977], [0.326, 0.907, 0.023], [0.826, 0.803, 0.418], [0.116, 0.593, 0.918], [0.582, 0.907, 0.384], [0.384, 0.582, 0.907], [0.582, 0.174, 0.197], [0.023, 0.326, 0.907], [0.023, 0.197, 0.116], [0.197, 0.582, 0.174], [0.977, 0.803, 0.884], [0.616, 0.418, 0.093], [0.826, 0.523, 0.407], [0.523, 0.407, 0.826], [0.697, 0.674, 0.082], [0.303, 0.477, 0.384]],
  "m_tot_mub_per_atom": 0.011,
  "dft_energy_ev_per_atom": -9.153,
  "spacegroup": "Ia-3d, No. 230"
}


No. 4
{
  "formula": "Gd3Nb3W2N12",
  "functional": "PBE-GGA",
  "state": "optimized geometry",
  "lattice": [[0.490, -6.968, 8.677], [-10.652, 2.221, -2.381], [4.873, -4.722, -8.833]],
  "species": ["N", "N", "N", "N", "N", "N", "N", "N", "N", "N", "N", "N", "N", "N", "N", "N", "N", "N", "N", "N", "N", "N", "N", "N", "N", "N", "N", "N", "N", "N", "N", "N", "N", "N", "N", "N", "N", "N", "N", "N", "N", "N", "N", "N", "N", "N", "N", "N", "Gd", "Gd", "Gd", "Gd", "Gd", "Gd", "Gd", "Gd", "Gd", "Gd", "Gd", "Gd", "W", "W", "W", "W", "W", "W", "W", "W", "Nb", "Nb", "Nb", "Nb", "Nb", "Nb", "Nb", "Nb", "Nb", "Nb", "Nb", "Nb"],
  "frac_coords": [[0.883, 0.977, 0.801], [0.175, 0.477, 0.593], [0.023, 0.325, 0.907], [0.407, 0.825, 0.523], [0.093, 0.617, 0.418], [0.907, 0.383, 0.582], [0.383, 0.582, 0.907], [0.918, 0.117, 0.593], [0.407, 0.082, 0.883], [0.199, 0.117, 0.023], [0.117, 0.593, 0.918], [0.325, 0.918, 0.301], [0.325, 0.907, 0.023], [0.383, 0.301, 0.477], [0.477, 0.383, 0.301], [0.199, 0.582, 0.175], [0.907, 0.023, 0.325], [0.593, 0.918, 0.117], [0.801, 0.418, 0.825], [0.977, 0.801, 0.883], [0.593, 0.175, 0.477], [0.699, 0.523, 0.617], [0.477, 0.593, 0.175], [0.082, 0.883, 0.407], [0.023, 0.199, 0.117], [0.418, 0.093, 0.617], [0.699, 0.675, 0.082], [0.175, 0.199, 0.582], [0.301, 0.325, 0.918], [0.617, 0.418, 0.093], [0.082, 0.699, 0.675], [0.418, 0.825, 0.801], [0.801, 0.883, 0.977], [0.582, 0.907, 0.383], [0.977, 0.675, 0.093], [0.883, 0.407, 0.082], [0.523, 0.617, 0.699], [0.093, 0.977, 0.675], [0.117, 0.023, 0.199], [0.675, 0.093, 0.977], [0.617, 0.699, 0.523], [0.918, 0.301, 0.325], [0.675, 0.082, 0.699], [0.523, 0.407, 0.825], [0.301, 0.477, 0.383], [0.825, 0.801, 0.418], [0.582, 0.175, 0.199], [0.825, 0.523, 0.407], [0.875, 0.750, 0.625], [0.125, 0.375, 0.750], [0.125, 0.250, 0.375], [0.625, 0.875, 0.750], [0.750, 0.125, 0.375], [0.750, 0.625, 0.875], [0.250, 0.875, 0.625], [0.250, 0.375, 0.125], [0.875, 0.625, 0.250], [0.375, 0.750, 0.125], [0.375, 0.125, 0.250], [0.625, 0.250, 0.875], [0.000, 0.000, 0.500], [0.000, 0.500, 0.500], [0.500, 0.500, 0.000], [0.500, 0.000, 0.500], [0.000, 0.500, 0.000], [0.000, 0.000, 0.000], [0.500, 0.000, 0.000], [0.500, 0.500, 0.500], [0.250, 0.625, 0.375], [0.125, 0.875, 0.250], [0.375, 0.625, 0.750], [0.625, 0.375, 0.250], [0.625, 0.750, 0.375], [0.750, 0.875, 0.125], [0.250, 0.125, 0.875], [0.750, 0.375, 0.625], [0.375, 0.250, 0.625], [0.125, 0.750, 0.875], [0.875, 0.250, 0.125], [0.875, 0.125, 0.750]],
  "m_tot_mub_per_atom": 0.000,
  "dft_energy_ev_per_atom": -9.409,
  "spacegroup": "Ia-3d, No. 230"
}


No. 5
{
  "formula": "Nd2GdN3",
  "functional": "PBE-GGA",
  "state": "optimized geometry",
  "lattice": [[3.592, 0.000, 0.000], [-1.796, 3.111, 0.000], [0.000, 0.000, 8.803]],
  "species": ["N", "N", "N", "Nd", "Nd", "Gd"],
  "frac_coords": [[0.667, 0.333, 0.660], [0.000, 0.000, 0.000], [0.333, 0.667, 0.340], [0.333, 0.667, 0.830], [0.667, 0.333, 0.170], [0.000, 0.000, 0.500]],
  "m_tot_mub_per_atom": 0.000,
  "dft_energy_ev_per_atom": -7.962,
  "spacegroup": "P-3m1, No. 164"
}


No. 6
{
  "formula": "NdGdP2Os2N2",
  "functional": "PBE-GGA",
  "state": "optimized geometry",
  "lattice": [[4.040, 0.000, 0.000], [0.000, 4.040, 0.000], [0.000, 0.000, 8.389]],
  "species": ["N", "N", "P", "P", "Os", "Os", "Gd", "Nd"],
  "frac_coords": [[0.000, 0.500, 0.006], [0.500, 0.000, 0.006], [0.500, 0.500, 0.354], [0.000, 0.000, 0.641], [0.000, 0.500, 0.497], [0.500, 0.000, 0.497], [0.000, 0.000, 0.133], [0.500, 0.500, 0.866]],
  "m_tot_mub_per_atom": 0.021,
  "dft_energy_ev_per_atom": -8.063,
  "spacegroup": "P4mm, No. 99"
}


No. 7
{
  "formula": "PrGdOs2N2O2",
  "functional": "PBE-GGA",
  "state": "optimized geometry",
  "lattice": [[3.842, 0.000, 0.000], [0.000, 3.842, 0.000], [0.000, 0.000, 7.836]],
  "species": ["O", "O", "Os", "Os", "Pr", "N", "N", "Gd"],
  "frac_coords": [[0.500, 0.000, 0.008], [0.000, 0.500, 0.008], [0.000, 0.500, 0.496], [0.500, 0.000, 0.496], [0.000, 0.000, 0.843], [0.500, 0.500, 0.616], [0.000, 0.000, 0.378], [0.500, 0.500, 0.154]],
  "m_tot_mub_per_atom": 0.000,
  "dft_energy_ev_per_atom": -8.497,
  "spacegroup": "P4mm, No. 99"
}


No. 8
{
  "formula": "GdPaNO",
  "functional": "PBE-GGA",
  "state": "optimized geometry",
  "lattice": [[4.259, 0.000, 0.000], [0.000, 4.259, 0.000], [0.000, 0.000, 8.132]],
  "species": ["O", "O", "Pa", "Pa", "N", "N", "Gd", "Gd"],
  "frac_coords": [[0.000, 0.000, 0.000], [0.500, 0.500, 0.000], [0.000, 0.000, 0.500], [0.500, 0.500, 0.500], [0.000, 0.500, 0.633], [0.500, 0.000, 0.367], [0.000, 0.500, 0.111], [0.500, 0.000, 0.889]],
  "m_tot_mub_per_atom": 0.001,
  "spacegroup": "P4/nmm, No. 129",
  "polymorph_energy_ev_per_fu": 1.41
}


No. 9
{
  "formula": "GdPaNO",
  "functional": "PBE-GGA",
  "state": "optimized geometry",
  "lattice": [[-2.541, 1.302, 2.735], [-3.028, -0.998, -2.338], [-0.170, -7.699, 3.506]],
  "species": ["N", "N", "Gd", "Gd", "O", "O", "Pa", "Pa"],
  "frac_coords": [[0.250, 0.250, 0.690], [0.750, 0.750, 0.310], [0.750, 0.250, 0.500], [0.250, 0.750, 0.500], [0.750, 0.250, 0.000], [0.250, 0.750, 0.000], [0.250, 0.250, 0.155], [0.750, 0.750, 0.845]],
  "m_tot_mub_per_atom": 0.251,
  "spacegroup": "P4/nmm, No. 129",
  "polymorph_energy_ev_per_fu": 2.48
}


No. 10
{
  "formula": "GdPaNO",
  "functional": "PBE-GGA",
  "state": "optimized geometry",
  "lattice": [[-1.384, -3.404, 1.408], [3.664, -2.527, -2.509], [4.312, 0.601, 5.691]],
  "species": ["O", "O", "Pa", "Pa", "N", "N", "Gd", "Gd"],
  "frac_coords": [[0.500, 0.437, 0.180], [0.500, 0.937, 0.820], [0.500, 0.938, 0.155], [0.500, 0.438, 0.845], [0.000, 0.940, 0.337], [0.000, 0.440, 0.663], [0.000, 0.439, 0.339], [0.000, 0.939, 0.661]],
  "m_tot_mub_per_atom": 0.337,
  "spacegroup": "Pmc2_1, No. 26",
  "polymorph_energy_ev_per_fu": 0.00
}


No. 11
{
  "formula": "GdPaNO",
  "functional": "PBE-GGA",
  "state": "optimized geometry",
  "lattice": [[-1.149, 3.121, -1.943], [5.358, 2.642, 1.074], [2.376, -2.569, -5.532]],
  "species": ["N", "N", "O", "O", "Gd", "Gd", "Pa", "Pa"],
  "frac_coords": [[0.000, 0.369, 0.656], [0.000, 0.869, 0.344], [0.500, 0.384, 0.169], [0.500, 0.884, 0.831], [0.500, 0.000, 0.172], [0.500, 0.500, 0.828], [0.000, 0.001, 0.667], [0.000, 0.501, 0.333]],
  "m_tot_mub_per_atom": 0.348,
  "spacegroup": "Pmc2_1, No. 26",
  "polymorph_energy_ev_per_fu": 0.63
}


No. 12
{
  "formula": "PrGdNO",
  "functional": "PBE-GGA",
  "state": "optimized geometry",
  "lattice": [[-2.675, 3.367, -0.461], [-1.012, -1.350, -3.982], [-6.395, -4.641, 3.198]],
  "species": ["Pr", "Pr", "O", "O", "Gd", "Gd", "N", "N"],
  "frac_coords": [[0.500, 0.500, 0.118], [0.000, 0.000, 0.882], [0.500, 0.000, 0.000], [0.000, 0.500, 0.000], [0.500, 0.000, 0.500], [0.000, 0.500, 0.500], [0.500, 0.500, 0.615], [0.000, 0.000, 0.385]],
  "m_tot_mub_per_atom": 0.190,
  "spacegroup": "P4/nmm, No. 129",
  "polymorph_energy_ev_per_fu": 1.83
}


- Number 12 is which compound?
  PrGdNO